This record from Alexandria describes crystalline PuTlCuHg at its relaxed geometry. The functional is GGA-PBE.

abc: 5.068 5.068 5.068
angles: 60.00 60.00 60.00
Last column: magnetic moment on the atom in μB.
Element x y z (fractional)
Hg: 0.750 0.750 0.750  0.01
Tl: 0.000 0.000 0.000  -0.02
Pu: 0.500 0.500 0.500  5.35
Cu: 0.250 0.250 0.250  -0.01

## Properties
Symmetry: No. 216
Calculated volume in A^3/atom: 23.02
Energy in eV/atom: -5.195
Formation energy from the elements in eV per atom: 0.08
Total moment in μB/f.u.: 5.5


This record from Alexandria describes crystalline BaRe2Br at its relaxed geometry. The functional is GGA-PBE.

abc: 3.958 3.958 6.490
angles: 90.00 90.00 90.00
Element x y z (fractional)
Ba: 0.500 0.500 0.250
Re: 0.000 0.000 0.919
Re: 0.000 0.000 0.581
Br: 0.500 0.500 0.750

## Properties
Symmetry: No. 123
Calculated volume in A^3/atom: 25.41
Energy in eV/atom: -5.504
Energy above the most stable polymorph in this dataset in meV/atom: 1347
Total moment in μB/f.u.: 0.0


This record from Alexandria describes crystalline KSr2Ac at its relaxed geometry. The functional is GGA-PBE.

abc: 4.124 4.124 12.856
angles: 90.00 90.00 90.00
Element x y z (fractional)
Ac: 0.500 0.500 0.000
K: 0.500 0.500 0.500
Sr: 0.000 0.000 0.225
Sr: 0.000 0.000 0.775

## Properties
Symmetry: No. 123
Calculated volume in A^3/atom: 54.68
Energy in eV/atom: -2.047
Energy above the most stable polymorph in this dataset in meV/atom: 0
Formation energy from the elements in eV per atom: 0.10
Total moment in μB/f.u.: 0.0


This record from Alexandria describes crystalline GdZnAu at its relaxed geometry. The functional is GGA-PBE.

abc: 4.716 4.716 4.716
angles: 60.00 60.00 60.00
Last column: magnetic moment on the atom in μB.
Element x y z (fractional)
Zn: 0.500 0.500 0.500  -0.03
Au: 0.250 0.250 0.250  -0.04
Gd: 0.000 0.000 0.000  -7.11

## Properties
Symmetry: No. 216
Calculated volume in A^3/atom: 24.72
Energy in eV/atom: -6.691
Formation energy from the elements in eV per atom: -0.48
Total moment in μB/f.u.: 7.5


This record from Alexandria describes crystalline CsKICl at its relaxed geometry. The functional is GGA-PBE.

abc: 6.017 6.017 13.460
angles: 77.08 77.08 60.00
Element x y z (fractional)
Cl: 0.291 0.291 0.128
Cl: 0.709 0.709 0.872
Cs: 0.379 0.379 0.864
Cs: 0.621 0.621 0.136
I: 0.119 0.119 0.642
I: 0.881 0.881 0.358
K: 0.789 0.789 0.633
K: 0.211 0.211 0.367

## Properties
Symmetry: No. 166
Calculated volume in A^3/atom: 50.97
Energy in eV/atom: -3.022
Energy above the most stable polymorph in this dataset in meV/atom: 9
Total moment in μB/f.u.: 0.0


This record from Alexandria describes crystalline DyHo3Mg8 at its relaxed geometry. The functional is GGA-PBE.

abc: 6.055 6.055 9.734
angles: 90.00 90.00 120.00
Element x y z (fractional)
Mg: 0.504 0.496 0.750
Mg: 0.675 0.837 0.250
Mg: 0.163 0.325 0.250
Mg: 0.992 0.496 0.750
Mg: 0.333 0.667 0.000
Mg: 0.163 0.837 0.250
Mg: 0.333 0.667 0.500
Mg: 0.504 0.008 0.750
Ho: 0.667 0.333 0.064
Ho: 0.667 0.333 0.436
Ho: 0.000 0.000 0.936
Dy: 0.000 0.000 0.564

## Properties
Symmetry: No. 156
Calculated volume in A^3/atom: 25.76
Energy in eV/atom: -2.656
Formation energy from the elements in eV per atom: -0.06
Total moment in μB/f.u.: 0.0


This record from Alexandria describes crystalline TmPu2Ge3Pt4 at its relaxed geometry. The functional is GGA-PBE.

abc: 4.199 4.199 11.433
angles: 90.00 90.00 90.00
Last column: magnetic moment on the atom in μB.
Element x y z (fractional)
Tm: 0.500 0.500 0.500  0.07
Pu: 0.000 0.500 0.768  5.30
Pu: 0.500 0.000 0.232  5.30
Pt: 0.500 0.500 0.000  0.09
Pt: 0.500 0.000 0.657  -0.03
Pt: 0.000 0.500 0.343  -0.03
Pt: 0.000 0.000 0.000  0.09
Ge: 0.500 0.000 0.873  0.00
Ge: 0.000 0.000 0.500  -0.04
Ge: 0.000 0.500 0.127  0.00

## Properties
Symmetry: No. 115
Calculated volume in A^3/atom: 20.16
Energy in eV/atom: -7.890
Formation energy from the elements in eV per atom: -0.78
Total moment in μB/f.u.: 11.3


This record from Alexandria describes crystalline Y2MgHgO at its relaxed geometry. The functional is GGA-PBE.

abc: 4.787 4.787 4.405
angles: 90.00 90.00 90.00
Element x y z (fractional)
Y: 0.000 0.500 0.000
Y: 0.500 0.000 0.000
Hg: 0.500 0.500 0.500
O: 0.000 0.000 0.000
Mg: 0.000 0.000 0.500

## Properties
Symmetry: No. 123
Calculated volume in A^3/atom: 20.19
Energy in eV/atom: -5.265
Total moment in μB/f.u.: 0.0